No. 1
Entry from Alexandria via LeMat-Bulk: crystalline Ba5Ca at its relaxed geometry (GGA-PBE). Values from VASP.

Properties
Offset from the most stable computed form = 0.3 kJ per mole of atoms
ΔE_f = 0.103 eV/f.u.

```
&SYSTEM
  ibrav = 0, nat = 6, ntyp = 2
/
ATOMIC_SPECIES
Ba 137.33 Ba.upf
Ca 40.08 Ca.upf
CELL_PARAMETERS angstrom
-7.775 -0.606 2.610
-6.350 -5.077 1.237
0.315 -2.775 9.362
ATOMIC_POSITIONS crystal
Ba 0.694 0.694 0.612
Ca 0.695 0.695 0.110
Ba 0.353 0.353 0.272
Ba 0.035 0.035 0.951
Ba 0.358 0.358 0.789
Ba 0.032 0.032 0.432
```

---

No. 2
Entry from Alexandria via LeMat-Bulk: crystalline Ba2Ca at its relaxed geometry (GGA-PBE). Values from VASP.

Properties
Offset from the most stable computed form = 17.1 kJ per mole of atoms
ΔE_f = 0.620 eV/f.u.

```
&SYSTEM
  ibrav = 0, nat = 6, ntyp = 2
/
ATOMIC_SPECIES
Ca 40.08 Ca.upf
Ba 137.33 Ba.upf
CELL_PARAMETERS angstrom
0.000 5.584 5.584
5.584 0.000 5.584
5.584 5.584 0.000
ATOMIC_POSITIONS crystal
Ca 0.750 0.750 0.750
Ba 0.125 0.125 0.125
Ca 0.500 0.500 0.500
Ba 0.125 0.625 0.125
Ba 0.125 0.125 0.625
Ba 0.625 0.125 0.125
```

---

No. 3
Entry from Alexandria via LeMat-Bulk: crystalline Ba2Ca7 at its relaxed geometry (GGA-PBE). Values from VASP.

Properties
Offset from the most stable computed form = 1.8 kJ per mole of atoms
ΔE_f = 0.473 eV/f.u.

```
&SYSTEM
  ibrav = 0, nat = 9, ntyp = 2
/
ATOMIC_SPECIES
Ca 40.08 Ca.upf
Ba 137.33 Ba.upf
CELL_PARAMETERS angstrom
-3.694 1.101 0.190
-2.360 -6.411 -8.756
-0.710 -4.154 10.276
ATOMIC_POSITIONS crystal
Ca 0.000 0.694 0.694
Ca 0.000 0.000 0.306
Ba 0.000 0.333 0.667
Ca 0.000 0.306 0.000
Ca 0.500 0.000 0.000
Ca 0.500 0.345 0.345
Ca 0.500 0.655 0.000
Ba 0.000 0.667 0.333
Ca 0.500 0.000 0.655
```